Version one
Here is crystalline Zn2Ru2Se at its relaxed geometry from Alexandria. Energies are from PBE.

a b c (Å): 3.501 3.501 14.123
angles (deg): 90.00 90.00 90.00
Space group I4/mmm (No. 139)
Symmetry-distinct sites (fractional):
Zn: 0.000 0.000 0.098
Ru: 0.000 0.500 0.250
Se: 0.000 0.000 0.500

Version two
Here is crystalline Zn2Ru2Se at its relaxed geometry from Alexandria. Energies are from PBE.

a b c (Å): 6.880 6.880 3.218
angles (deg): 90.00 90.00 90.00
Space group P4/mbm (No. 127)
Symmetry-distinct sites (fractional):
Zn: 0.126 0.374 0.000
Ru: 0.171 0.671 0.500
Se: 0.000 0.000 0.000

Version three
Here is crystalline Zn2Ru2Se at its relaxed geometry from Alexandria. Energies are from PBE.

a b c (Å): 6.328 6.328 3.940
angles (deg): 90.00 90.00 90.00
Space group P4/mbm (No. 127)
Symmetry-distinct sites (fractional):
Zn: 0.144 0.356 0.000
Ru: 0.157 0.657 0.500
Se: 0.000 0.000 0.500

Most stable pick: version three. Distance to second place: 301 meV/atom.

Version one
Here is crystalline ZrRuSe3 at its relaxed geometry from Alexandria. Energies are from PBE.

a b c (Å): 4.806 4.806 4.806
angles (deg): 90.00 90.00 90.00
Space group Pm-3m (No. 221)
Symmetry-distinct sites (fractional):
Zr: 0.000 0.000 0.000
Ru: 0.500 0.500 0.500
Se: 0.000 0.500 0.500

Version two
Here is crystalline ZrRuSe3 at its relaxed geometry from Alexandria. Energies are from PBE.

a b c (Å): 5.184 5.184 5.184
angles (deg): 90.00 90.00 90.00
Space group Pm-3m (No. 221)
Symmetry-distinct sites (fractional):
Zr: 0.000 0.000 0.000
Ru: 0.500 0.500 0.500
Se: 0.000 0.000 0.500

Most stable pick: version one. Distance to second place: 173 meV/atom.

Version one
Here is crystalline Si3Ru5 at its relaxed geometry from Alexandria. Energies are from PBE.

a b c (Å): 5.291 9.864 4.045
angles (deg): 90.00 90.00 90.00
Space group Pbam (No. 55)
Symmetry-distinct sites (fractional):
Si: 0.000 0.000 0.000
Si: 0.127 0.361 0.500
Ru: 0.000 0.500 0.000
Ru: 0.157 0.773 0.000
Ru: 0.166 0.109 0.500

Version two
Here is crystalline Si3Ru5 at its relaxed geometry from Alexandria. Energies are from PBE.

a b c (Å): 5.061 6.973 6.987
angles (deg): 82.79 68.78 69.60
Space group P1 (No. 1)
Symmetry-distinct sites (fractional):
Si: 0.000 0.000 0.000
Si: 0.011 0.831 0.500
Si: 0.159 0.333 0.326
Si: 0.485 0.333 0.674
Si: 0.512 0.831 0.500
Si: 0.647 0.660 0.000
Ru: 0.047 0.122 0.631
Ru: 0.063 0.348 0.999
Ru: 0.174 0.699 0.788
Ru: 0.330 0.971 0.207
Ru: 0.467 0.540 0.358
Ru: 0.538 0.971 0.793
Ru: 0.590 0.297 0.000
Ru: 0.677 0.121 0.369
Ru: 0.824 0.540 0.642
Ru: 0.963 0.699 0.212

Most stable pick: version one. Distance to second place: 47 meV/atom.

Version one
Here is crystalline Si5Ru at its relaxed geometry from Alexandria. Energies are from PBE.

a b c (Å): 7.013 7.013 7.013
angles (deg): 90.00 90.00 90.00
Space group F-43m (No. 216)
Symmetry-distinct sites (fractional):
Si: 0.000 0.000 0.000
Si: 0.126 0.126 0.374
Ru: 0.250 0.250 0.750

Version two
Here is crystalline Si5Ru at its relaxed geometry from Alexandria. Energies are from PBE.

a b c (Å): 2.855 2.855 10.434
angles (deg): 90.00 90.00 90.00
Space group P4/mmm (No. 123)
Symmetry-distinct sites (fractional):
Si: 0.000 0.000 0.000
Si: 0.000 0.000 0.354
Si: 0.500 0.500 0.175
Ru: 0.500 0.500 0.500

Version three
Here is crystalline Si5Ru at its relaxed geometry from Alexandria. Energies are from PBE.

a b c (Å): 11.580 2.997 6.087
angles (deg): 90.00 120.34 90.00
Space group Cm (No. 8)
Symmetry-distinct sites (fractional):
Si: 0.000 0.000 0.000
Si: 0.017 0.500 0.405
Si: 0.200 0.500 0.100
Si: 0.305 0.000 0.906
Si: 0.390 0.500 0.546
Ru: 0.193 0.000 0.433

Most stable pick: version three. Distance to second place: 106 meV/atom.